Zr2PW | PBEsol | optimized geometry

a b c (Å): 4.4510 4.4510 3.4884
angles (deg): 90.00 90.00 90.00
Fractional positions:
Zr: 0.0000 0.5000 0.0000
Zr: 0.5000 0.0000 0.0000
P: 0.0000 0.0000 0.5000
W: 0.5000 0.5000 0.5000

Results
E_form, meV/atom: -379
Crystal system: tetragonal
Raw total energy, eV/atom: -9.82
Spin magnetization, Bohr magnetons per cell: 0.00